An optimized crystal structure of CdCoF3. Source: the Alexandria database, functional PBE with a Hubbard U.

a b c (Å): 4.0971 4.0971 4.0971
angles (deg): 90.00 90.00 90.00
With the nearest neighbours (Å) after each atom.
Atoms (fractional coordinates):
F 0.5000 0.0000 0.0000  2 Co 2.05
F 0.0000 0.5000 0.0000  2 Co 2.05
F 0.0000 0.0000 0.5000  2 Co 2.05
Co 0.0000 0.0000 0.0000  6 F 2.05
Cd 0.5000 0.5000 0.5000  12 F 2.90

Properties
Excess energy over the best structure of this formula in the dataset (meV per atom): 0
Density (Mg/m³): 5.5